# 1
An optimized crystal structure of Ac3TiZn2O9. Source: Alexandria via LeMat-Bulk, functional PBE. Values from VASP.

Crystal system = trigonal
Space group = P-3m1
Calculated total energy = -107.26 eV per formula unit

```
&SYSTEM
  ibrav = 0, nat = 15, ntyp = 4
/
ATOMIC_SPECIES
O 16.00 O.upf
Ac 227.00 Ac.upf
Zn 65.41 Zn.upf
Ti 47.87 Ti.upf
CELL_PARAMETERS angstrom
-0.508 2.525 5.052
3.948 -3.993 -0.790
4.556 4.898 -1.990
ATOMIC_POSITIONS crystal
O 0.324 0.162 0.662
Ac 0.333 0.667 0.681
O 0.838 0.676 0.662
O 0.838 0.162 0.662
O 0.500 0.000 0.000
Ac 0.000 0.000 0.000
Zn 0.667 0.333 0.829
O 0.676 0.838 0.338
Ti 0.000 0.000 0.500
Ac 0.667 0.333 0.319
O 0.162 0.838 0.338
O 0.000 0.500 0.000
O 0.500 0.500 0.000
O 0.162 0.324 0.338
Zn 0.333 0.667 0.171
```

=====

# 2
An optimized crystal structure of Ac2ZrTi3O12. Source: Alexandria via LeMat-Bulk, functional PBE. Values from VASP.

Crystal system = trigonal
Space group = R-3m
Calculated total energy = -149.39 eV per formula unit

```
&SYSTEM
  ibrav = 0, nat = 18, ntyp = 4
/
ATOMIC_SPECIES
O 16.00 O.upf
Ti 47.87 Ti.upf
Zr 91.22 Zr.upf
Ac 227.00 Ac.upf
CELL_PARAMETERS angstrom
6.707 -0.227 -0.161
3.115 5.944 -0.161
3.115 1.813 5.663
ATOMIC_POSITIONS crystal
O 0.276 0.882 0.276
O 0.139 0.139 0.601
O 0.399 0.861 0.861
Ti 0.000 0.000 0.500
Zr 0.000 0.000 0.000
O 0.118 0.724 0.724
Ac 0.613 0.613 0.613
Ti 0.500 0.000 0.000
O 0.601 0.139 0.139
O 0.882 0.276 0.276
Ac 0.387 0.387 0.387
O 0.861 0.861 0.399
Ti 0.000 0.500 0.000
O 0.724 0.118 0.724
O 0.724 0.724 0.118
O 0.861 0.399 0.861
O 0.276 0.276 0.882
O 0.139 0.601 0.139
```

=====

# 3
An optimized crystal structure of AcZrTi2O8. Source: Alexandria via LeMat-Bulk, functional PBE. Values from VASP.

Crystal system = tetragonal
Space group = I-4
Calculated total energy = -103.76 eV per formula unit

```
&SYSTEM
  ibrav = 0, nat = 12, ntyp = 4
/
ATOMIC_SPECIES
O 16.00 O.upf
Ti 47.87 Ti.upf
Ac 227.00 Ac.upf
Zr 91.22 Zr.upf
CELL_PARAMETERS angstrom
-2.411 4.595 0.425
-1.060 -1.017 4.995
6.671 0.658 -1.164
ATOMIC_POSITIONS crystal
O 0.388 0.310 0.143
O 0.755 0.833 0.143
Ti 0.500 0.500 0.000
O 0.294 0.919 0.318
O 0.024 0.399 0.318
Ac 0.750 0.250 0.500
O 0.690 0.245 0.857
O 0.167 0.612 0.857
O 0.081 0.976 0.682
Ti 0.250 0.750 0.500
O 0.601 0.706 0.682
Zr 0.000 0.000 0.000
```

=====

# 4
An optimized crystal structure of Ac3TlO. Source: Alexandria via LeMat-Bulk, functional PBE. Values from VASP.

Crystal system = orthorhombic
Space group = Cmmm
Calculated total energy = -25.29 eV per formula unit

```
&SYSTEM
  ibrav = 0, nat = 10, ntyp = 3
/
ATOMIC_SPECIES
Ac 227.00 Ac.upf
O 16.00 O.upf
Tl 204.38 Tl.upf
CELL_PARAMETERS angstrom
4.047 0.000 0.000
0.000 8.727 2.395
0.000 0.456 9.038
ATOMIC_POSITIONS crystal
Ac 0.863 0.761 0.416
O 0.363 0.694 0.246
Tl 0.863 0.194 0.246
Ac 0.863 0.364 0.813
Ac 0.363 0.391 0.444
Ac 0.863 0.025 0.680
Tl 0.363 0.694 0.746
O 0.363 0.194 0.746
Ac 0.863 0.627 0.077
Ac 0.363 0.997 0.049
```

=====

# 5
An optimized crystal structure of Ac2TlO2. Source: Alexandria via LeMat-Bulk, functional PBE. Values from VASP.

Crystal system = tetragonal
Space group = P4/mmm
Calculated total energy = -29.69 eV per formula unit

```
&SYSTEM
  ibrav = 0, nat = 5, ntyp = 3
/
ATOMIC_SPECIES
Tl 204.38 Tl.upf
Ac 227.00 Ac.upf
O 16.00 O.upf
CELL_PARAMETERS angstrom
-0.418 0.323 -3.950
3.892 -0.716 -0.471
-1.541 -8.052 -0.495
ATOMIC_POSITIONS crystal
Tl 0.000 0.000 0.000
Ac 0.500 0.500 0.687
O 0.500 0.000 0.500
Ac 0.500 0.500 0.313
O 0.000 0.500 0.500
```

=====

# 6
An optimized crystal structure of AcTl2O4. Source: Alexandria via LeMat-Bulk, functional PBE. Values from VASP.

Crystal system = tetragonal
Space group = I-42d
Calculated total energy = -39.06 eV per formula unit

```
&SYSTEM
  ibrav = 0, nat = 14, ntyp = 3
/
ATOMIC_SPECIES
Tl 204.38 Tl.upf
O 16.00 O.upf
Ac 227.00 Ac.upf
CELL_PARAMETERS angstrom
-3.226 -4.976 3.525
6.627 -1.906 -0.210
0.008 6.365 2.661
ATOMIC_POSITIONS crystal
Tl 0.268 0.643 0.125
O 0.667 0.204 0.875
O 0.213 0.296 0.921
Ac 0.750 0.500 0.250
Tl 0.375 0.857 0.732
O 0.125 0.792 0.329
Ac 0.000 0.000 0.000
Tl 0.875 0.143 0.518
O 0.671 0.796 0.463
O 0.537 0.208 0.333
O 0.625 0.704 0.917
Tl 0.482 0.357 0.625
O 0.079 0.292 0.375
O 0.083 0.708 0.787
```

=====

# 7
An optimized crystal structure of Ac12Tl3O5. Source: Alexandria via LeMat-Bulk, functional PBE. Values from VASP.

Crystal system = cubic
Space group = Ia-3d
Calculated total energy = -109.15 eV per formula unit

```
&SYSTEM
  ibrav = 0, nat = 80, ntyp = 3
/
ATOMIC_SPECIES
O 16.00 O.upf
Tl 204.38 Tl.upf
Ac 227.00 Ac.upf
CELL_PARAMETERS angstrom
15.005 0.000 0.000
-5.002 14.147 0.000
-5.002 -7.074 12.252
ATOMIC_POSITIONS crystal
O 0.875 0.250 0.625
Tl 0.375 0.625 0.250
Tl 0.250 0.125 0.375
Ac 0.392 0.990 0.802
O 0.875 0.625 0.750
Ac 0.108 0.698 0.510
Tl 0.625 0.375 0.750
O 0.000 0.500 0.000
Tl 0.875 0.125 0.250
Ac 0.098 0.188 0.490
Ac 0.910 0.812 0.802
Ac 0.188 0.098 0.990
Ac 0.990 0.392 0.302
Ac 0.892 0.302 0.490
Ac 0.108 0.410 0.098
O 0.250 0.375 0.625
Ac 0.892 0.590 0.902
Ac 0.802 0.312 0.910
Ac 0.902 0.812 0.510
Tl 0.750 0.875 0.625
Ac 0.302 0.892 0.990
Ac 0.302 0.410 0.812
Tl 0.125 0.250 0.875
Ac 0.812 0.902 0.010
Tl 0.125 0.875 0.750
Ac 0.990 0.598 0.188
Ac 0.910 0.098 0.608
Ac 0.402 0.392 0.590
Ac 0.188 0.090 0.698
Ac 0.608 0.010 0.198
O 0.375 0.250 0.125
O 0.375 0.125 0.750
Ac 0.010 0.402 0.812
O 0.750 0.125 0.875
Tl 0.625 0.250 0.375
O 0.625 0.875 0.250
Ac 0.410 0.302 0.312
Ac 0.410 0.108 0.598
Ac 0.902 0.090 0.892
Ac 0.802 0.490 0.392
Ac 0.490 0.802 0.892
Ac 0.312 0.802 0.410
Ac 0.590 0.698 0.688
O 0.125 0.375 0.250
Ac 0.510 0.312 0.902
O 0.000 0.000 0.500
Tl 0.250 0.625 0.875
Ac 0.510 0.198 0.108
Ac 0.598 0.608 0.410
Ac 0.090 0.188 0.198
Ac 0.698 0.590 0.188
Ac 0.402 0.010 0.312
O 0.625 0.750 0.875
Ac 0.608 0.598 0.910
O 0.000 0.000 0.000
Ac 0.688 0.198 0.590
Tl 0.875 0.750 0.125
O 0.125 0.750 0.375
Ac 0.812 0.910 0.302
Ac 0.198 0.510 0.608
Ac 0.392 0.402 0.090
O 0.500 0.000 0.500
Ac 0.312 0.510 0.402
Ac 0.010 0.608 0.698
Ac 0.698 0.108 0.010
Ac 0.688 0.490 0.598
Tl 0.750 0.375 0.125
O 0.750 0.625 0.375
Tl 0.375 0.750 0.625
O 0.500 0.000 0.000
Ac 0.198 0.688 0.090
O 0.500 0.500 0.500
Ac 0.098 0.910 0.108
O 0.000 0.500 0.500
O 0.500 0.500 0.000
Ac 0.598 0.990 0.688
Ac 0.590 0.892 0.402
Ac 0.090 0.902 0.392
O 0.250 0.875 0.125
Ac 0.490 0.688 0.098
```

=====

# 8
An optimized crystal structure of Ac4Tl2O. Source: Alexandria via LeMat-Bulk, functional PBE. Values from VASP.

Crystal system = monoclinic
Space group = P2_1/m
Calculated total energy = -32.95 eV per formula unit

```
&SYSTEM
  ibrav = 0, nat = 14, ntyp = 3
/
ATOMIC_SPECIES
Ac 227.00 Ac.upf
O 16.00 O.upf
Tl 204.38 Tl.upf
CELL_PARAMETERS angstrom
6.689 0.000 -2.502
0.000 7.602 0.000
-0.003 0.000 9.908
ATOMIC_POSITIONS crystal
Ac 0.889 0.250 0.060
Ac 0.111 0.750 0.940
O 0.716 0.250 0.795
Tl 0.684 0.750 0.034
Tl 0.316 0.250 0.966
Ac 0.480 0.001 0.728
Ac 0.931 0.250 0.647
Ac 0.069 0.750 0.353
Tl 0.794 0.750 0.585
O 0.284 0.750 0.205
Ac 0.520 0.999 0.272
Tl 0.206 0.250 0.415
Ac 0.520 0.501 0.272
Ac 0.480 0.499 0.728
```

=====

no.,volume (Å³/atom),ρ (Mg/m³)
1,12.96,8.58
2,13.00,6.25
3,12.93,5.80
4,31.48,9.51
5,26.09,8.79
6,17.75,9.35
7,32.51,8.73
8,35.98,8.79